BaMn2Os | PBE-GGA | relaxed

calculated formation energy: 100 kJ/mol of atoms
N(E_F): 12.87 states/eV/cell
excess energy over the best structure of this formula in the dataset: 622 meV per atom
DFT total energy: -6.83 eV per atom

CIF file:
```
data_BaMn2Os
_chemical_formula_sum 'Ba3 Mn6 Os3'
_cell_length_a 2.9945
_cell_length_b 2.9945
_cell_length_c 29.8584
_cell_angle_alpha 90.00
_cell_angle_beta 90.00
_cell_angle_gamma 120.00
_symmetry_space_group_name_H-M 'R 3 m'
_symmetry_Int_Tables_number 160
_symmetry_space_group_name_Hall 'R 3 -2"'
loop_
_atom_site_label
_atom_site_fract_x
_atom_site_fract_y
_atom_site_fract_z
Ba1 0.0000 0.0000 0.0000
Mn1 0.0000 0.0000 0.5069
Mn2 0.0000 0.0000 0.7715
Os1 0.0000 0.0000 0.2360
```

---

V2TcRu5 | PBE-GGA | relaxed

calculated formation energy: -13 kJ/mol of atoms
N(E_F): 16.37 states/eV/cell
DFT total energy: -9.51 eV per atom

CIF file:
```
data_V2TcRu5
_chemical_formula_sum 'V4 Tc2 Ru10'
_cell_length_a 8.681
_cell_length_b 5.455
_cell_length_c 6.379
_cell_angle_alpha 90.00
_cell_angle_beta 132.64
_cell_angle_gamma 90.00
_symmetry_space_group_name_H-M 'C 1 m 1'
_symmetry_Int_Tables_number 8
_symmetry_space_group_name_Hall 'C -2y'
loop_
_atom_site_label
_atom_site_fract_x
_atom_site_fract_y
_atom_site_fract_z
V1 0.000 0.000 0.000
V2 0.058 0.500 0.641
Tc1 0.479 0.000 0.990
Ru1 0.068 0.000 0.658
Ru2 0.240 0.252 0.502
Ru3 0.315 0.254 0.148
```

---

TlCrIn2 | PBE-GGA | relaxed

calculated formation energy: 36 kJ/mol of atoms
N(E_F): 4.55 states/eV/cell
excess energy over the best structure of this formula in the dataset: 115 meV per atom
DFT total energy: -4.00 eV per atom

CIF file:
```
data_TlCrIn2
_chemical_formula_sum 'Tl2 Cr2 In4'
_cell_length_a 4.522
_cell_length_b 4.522
_cell_length_c 9.292
_cell_angle_alpha 90.00
_cell_angle_beta 90.00
_cell_angle_gamma 90.00
_symmetry_space_group_name_H-M 'I -4 m 2'
_symmetry_Int_Tables_number 119
_symmetry_space_group_name_Hall 'I -4 -2'
loop_
_atom_site_label
_atom_site_fract_x
_atom_site_fract_y
_atom_site_fract_z
Tl1 0.000 0.000 0.000
Cr1 0.000 0.500 0.750
In1 0.000 0.000 0.500
In2 0.000 0.500 0.250
```

---

La2TlCd2 | PBE-GGA | relaxed

calculated formation energy: 5 kJ/mol of atoms
N(E_F): 11.46 states/eV/cell
excess energy over the best structure of this formula in the dataset: 380 meV per atom
DFT total energy: -2.75 eV per atom

CIF file:
```
data_La2TlCd2
_chemical_formula_sum 'La4 Tl2 Cd4'
_cell_length_a 4.907
_cell_length_b 4.907
_cell_length_c 13.917
_cell_angle_alpha 90.00
_cell_angle_beta 90.00
_cell_angle_gamma 90.00
_symmetry_space_group_name_H-M 'I 4/m m m'
_symmetry_Int_Tables_number 139
_symmetry_space_group_name_Hall '-I 4 2'
loop_
_atom_site_label
_atom_site_fract_x
_atom_site_fract_y
_atom_site_fract_z
La1 0.000 0.500 0.250
Tl1 0.000 0.000 0.000
Cd1 0.000 0.000 0.404
```